[1]
A relaxed KGe4Pt2 crystal. Source: Alexandria, functional PBE.

Cell: 4.1862 8.1665 8.1665 Å, 90.00 90.00 90.00°
Sites, in units of the cell vectors:
K (0.5000, 0.0000, 0.0000)
K (0.0000, 0.5000, 0.5000)
Ge (0.0000, 0.0721, 0.3334)
Ge (0.0000, 0.9279, 0.6666)
Ge (0.5000, 0.1666, 0.5721)
Ge (0.5000, 0.8334, 0.4279)
Ge (0.5000, 0.4279, 0.8334)
Ge (0.5000, 0.5721, 0.1666)
Ge (0.0000, 0.3334, 0.0721)
Ge (0.0000, 0.6666, 0.9279)
Pt (0.0000, 0.2241, 0.7759)
Pt (0.0000, 0.7759, 0.2241)
Pt (0.5000, 0.7241, 0.7241)
Pt (0.5000, 0.2759, 0.2759)

Its total magnetization is 0.00 μB/f.u. The calculation puts the formation enthalpy at 0 K at -203 meV per atom. The space group is P4_2/mnm, No. 136. The final energy is -4.724 eV per atom.

[2]
A relaxed KGePt crystal. Source: Alexandria, functional PBE.

Cell: 4.6801 4.6801 7.4889 Å, 90.00 90.00 75.07°
Sites, in units of the cell vectors:
K (0.7500, 0.7500, 0.3425)
K (0.2500, 0.2500, 0.6575)
Ge (0.7500, 0.7500, 0.8624)
Ge (0.2500, 0.2500, 0.1376)
Pt (0.2500, 0.7500, 0.0000)
Pt (0.7500, 0.2500, 0.0000)

Its total magnetization is 0.00 μB/f.u. The calculation puts the formation enthalpy at 0 K at -424 meV per atom. The space group is Cmme, No. 67. The final energy is -4.342 eV per atom.

[3]
A relaxed KGePt3 crystal. Source: Alexandria, functional PBE.

Cell: 5.5405 7.9206 6.8394 Å, 125.44 113.89 90.00°
Sites, in units of the cell vectors:
K (0.1535, 0.5621, 0.4984)
K (0.1534, 0.0621, 0.4984)
Ge (0.8314, 0.7402, 0.8545)
Ge (0.4753, 0.3839, 0.1423)
Pt (0.6536, 0.3319, 0.4983)
Pt (0.6537, 0.5618, 0.9983)
Pt (0.6537, 0.0622, 0.9983)
Pt (0.6536, 0.7922, 0.4984)
Pt (0.1538, 0.0618, 0.9984)
Pt (0.1538, 0.5623, 0.9984)

Its total magnetization is 0.00 μB/f.u. The calculation puts the formation enthalpy at 0 K at -240 meV per atom. The space group is Immm, No. 71. The final energy is -5.007 eV per atom. Its energy above the lowest structure with this stoichiometry is 0 meV/atom.

[4]
A relaxed KGe3Pt crystal. Source: Alexandria, functional PBE.

Cell: 5.0619 5.0619 5.0619 Å, 90.00 90.00 90.00°
Sites, in units of the cell vectors:
Ge (0.0000, 0.5000, 0.0000)
Ge (0.0000, 0.0000, 0.5000)
Ge (0.5000, 0.0000, 0.0000)
K (0.5000, 0.5000, 0.5000)
Pt (0.0000, 0.0000, 0.0000)

Its total magnetization is 0.00 μB/f.u. The calculation puts the formation enthalpy at 0 K at 233 meV per atom. The space group is Pm-3m, No. 221. The final energy is -3.965 eV per atom. Its energy above the lowest structure with this stoichiometry is 540 meV/atom.